[1]
The following is a PBE-GGA calculation of a relaxed CrP2Pb crystal, from the Alexandria database.

Uncorrected energy: -5.737 eV per atom
SG: Immm
Calculated volume: 86.9 Å³/cell

```
CrP2Pb
1.0
-3.344 3.532 1.290
-3.367 -3.723 0.358
4.184 0.902 2.646
Cr P Pb
1 2 1
direct
0.250 0.750 0.500
0.081 0.081 0.000
0.419 0.419 0.000
0.750 0.250 0.500
```

---

[2]
The following is a PBE-GGA calculation of a relaxed CrP3Pb crystal, from the Alexandria database.

SG: Pm-3m
Calculated volume: 95.9 Å³/cell
Offset from the most stable computed form: 0 meV per atom

```
CrP3Pb
1.0
4.578 0.000 0.000
0.000 4.578 0.000
0.000 0.000 4.578
Pb Cr P
1 1 3
direct
0.500 0.500 0.500
0.000 0.000 0.000
0.000 0.500 0.000
0.000 0.000 0.500
0.500 0.000 0.000
```

---

[3]
The following is a PBE-GGA calculation of a relaxed CrPPb2 crystal, from the Alexandria database.

Uncorrected energy: -5.085 eV per atom
SG: I-4m2
Calculated volume: 93.8 Å³/cell

```
CrPPb2
1.0
-0.656 -1.252 5.540
4.165 -3.299 2.112
-0.121 4.832 -3.055
Cr P Pb
1 1 2
direct
0.500 0.500 0.000
0.750 0.250 0.500
0.000 0.000 0.000
0.250 0.750 0.500
```

---

[4]
The following is a PBE-GGA calculation of a relaxed CrP2Pb crystal, from the Alexandria database.

Uncorrected energy: -5.676 eV per atom
SG: R3m
Calculated volume: 76.0 Å³/cell

```
CrP2Pb
1.0
-0.456 0.679 -7.472
-1.408 -2.619 -6.903
-3.725 -0.050 -6.528
Cr P Pb
1 2 1
direct
0.732 0.732 0.732
0.997 0.997 0.997
0.270 0.270 0.270
0.501 0.501 0.501
```

---

[5]
The following is a PBE-GGA calculation of a relaxed CrPPb3 crystal, from the Alexandria database.

SG: Pm-3m
Calculated volume: 140.6 Å³/cell
Offset from the most stable computed form: 0 meV per atom

```
CrPPb3
1.0
5.201 0.000 0.000
0.000 5.201 0.000
0.000 0.000 5.201
Pb Cr P
3 1 1
direct
0.000 0.500 0.000
0.000 0.000 0.500
0.500 0.000 0.000
0.000 0.000 0.000
0.500 0.500 0.500
```

---

[6]
The following is a PBE-GGA calculation of a relaxed CrPPb2 crystal, from the Alexandria database.

Uncorrected energy: -5.526 eV per atom
SG: C2/m
Calculated volume: 94.3 Å³/cell

```
CrPPb2
1.0
8.453 -0.002 0.106
7.764 3.344 0.106
0.607 0.125 3.343
Cr P Pb
1 1 2
direct
0.250 0.250 0.250
0.750 0.750 0.750
0.087 0.087 0.911
0.413 0.413 0.589
```

---

[7]
The following is a PBE-GGA calculation of a relaxed Cr2PPb crystal, from the Alexandria database.

SG: Immm
Calculated volume: 69.3 Å³/cell
Offset from the most stable computed form: 246 meV per atom

```
Cr2PPb
1.0
4.959 -0.012 0.004
0.917 4.873 -0.004
-2.075 -3.474 2.867
Cr P Pb
2 1 1
direct
0.946 0.946 0.000
0.554 0.554 0.000
0.750 0.250 0.500
0.250 0.750 0.500
```

---

[8]
The following is a PBE-GGA calculation of a relaxed Cr2PPb crystal, from the Alexandria database.

SG: I-42d
Calculated volume: 147.7 Å³/cell
Offset from the most stable computed form: 287 meV per atom

```
Cr2PPb
1.0
6.993 0.000 0.000
0.000 6.993 0.000
3.497 3.497 3.021
Pb Cr P
2 4 2
direct
0.000 0.000 0.000
0.750 0.250 0.500
0.557 0.125 0.250
0.193 0.625 0.250
0.375 0.443 0.750
0.875 0.807 0.750
0.500 0.500 0.000
0.250 0.750 0.500
```